i.
A relaxed LaCrCd3 crystal, computed with PBE-GGA.

abc: 5.161 5.161 5.161
angles: 90.00 90.00 90.00
Space group Pm-3m (No. 221)
Asymmetric unit:
La1 0.000 0.000 0.000 x1
Cr1 0.500 0.500 0.500 x1
Cd1 0.000 0.500 0.500 x3

Computed properties:
Calculated volume   27.49 Å³ per atom

ii.
A relaxed LaCrCd3 crystal, computed with PBE-GGA.

abc: 6.060 6.060 6.060
angles: 90.00 90.00 90.00
Space group Pm-3m (No. 221)
Asymmetric unit:
La1 0.000 0.000 0.000 x1
Cr1 0.500 0.500 0.500 x1
Cd1 0.000 0.000 0.500 x3

Computed properties:
Calculated volume   44.52 Å³ per atom

How far above the most stable structure does each one sit? In eV/atom: i 0.000; ii 0.944.

i.
A relaxed LiCrCd crystal, computed with PBE-GGA.

abc: 3.025 4.040 8.829
angles: 90.00 90.00 90.00
Space group Imm2 (No. 44)
Asymmetric unit:
Li1 0.000 0.000 0.000 x2
Cr1 0.000 0.000 0.332 x2
Cd1 0.000 0.000 0.667 x2

Computed properties:
Calculated volume   17.98 Å³ per atom

ii.
A relaxed LiCrCd crystal, computed with PBE-GGA.

abc: 3.121 4.343 14.145
angles: 90.00 90.00 90.00
Space group Fmm2 (No. 42)
Asymmetric unit:
Li1 0.000 0.000 0.000 x4
Cr1 0.000 0.000 0.343 x4
Cd1 0.000 0.000 0.675 x4

Computed properties:
Calculated volume   15.97 Å³ per atom

How far above the most stable structure does each one sit? In eV/atom: i 0.000; ii 0.198.